A plane-wave DFT calculation with PBE-GGA was carried out for a geometry-optimized Al2FeSe structure.

The energy relative to the elements, uncorrected is 19 kJ/mol of atoms. As for the crystal system: tetragonal. As for the total energy: -4.66 eV/atom.

The structure belongs to space group I-42d (No. 122); the cell edges are 7.0893, 7.0893 and 5.4973 Å and the angles 90.00°, 90.00° and 90.00°. Symmetry generates all atoms from Al at (0.2468, 0.2500, 0.1250), Fe at (0.0000, 0.0000, 0.0000) and Se at (0.0000, 0.0000, 0.5000).



A plane-wave DFT calculation with PBE-GGA was carried out for a geometry-optimized AlFeSe structure.

The energy relative to the elements, uncorrected is -3 kJ/mol of atoms. As for the crystal system: monoclinic. The excess energy over the best structure of this formula in the dataset is 24 meV per atom. As for the total energy: -5.26 eV/atom.

The structure belongs to space group Cm (No. 8); the cell edges are 8.2238, 3.3847 and 3.6029 Å and the angles 90.00°, 94.53° and 90.00°. Symmetry generates all atoms from Al at (0.0000, 0.0000, 0.0000), Fe at (0.0355, 0.5000, 0.5074) and Se at (0.2484, 0.0000, 0.5183).



A plane-wave DFT calculation with PBE-GGA was carried out for a geometry-optimized Al2FeSe structure.

The energy relative to the elements, uncorrected is 10 kJ/mol of atoms. As for the crystal system: monoclinic. As for the total energy: -4.76 eV/atom.

The structure belongs to space group C2/m (No. 12); the cell edges are 8.4240, 3.2277 and 4.6701 Å and the angles 90.00°, 109.22° and 90.00°. Symmetry generates all atoms from Al at (0.2395, 0.0000, 0.2178), Fe at (0.0000, 0.5000, 0.0000) and Se at (0.0000, 0.0000, 0.5000).



A plane-wave DFT calculation with PBE-GGA was carried out for a geometry-optimized AlFeSe structure.

The energy relative to the elements, uncorrected is 2 kJ/mol of atoms. As for the crystal system: cubic. The excess energy over the best structure of this formula in the dataset is 70 meV per atom. As for the total energy: -5.21 eV/atom.

The structure belongs to space group F-43m (No. 216); the cell edges are 5.7083, 5.7083 and 5.7083 Å and the angles 90.00°, 90.00° and 90.00°. Symmetry generates all atoms from Al at (0.0000, 0.0000, 0.0000), Fe at (0.2500, 0.2500, 0.2500) and Se at (0.0000, 0.0000, 0.5000).



A plane-wave DFT calculation with PBE-GGA was carried out for a geometry-optimized AlFe2Se structure.

The energy relative to the elements, uncorrected is 7 kJ/mol of atoms. As for the crystal system: monoclinic. The excess energy over the best structure of this formula in the dataset is 110 meV per atom. As for the total energy: -5.96 eV/atom.

The structure belongs to space group Pm (No. 6); the cell edges are 2.9246, 4.3746 and 4.2208 Å and the angles 90.00°, 90.28° and 90.00°. Symmetry generates all atoms from Al at (0.0000, 0.0000, 0.0000), Fe at (0.0025, 0.5000, 0.6998), Fe at (0.5006, 0.0000, 0.5158) and Se at (0.4978, 0.5000, 0.2491).



A plane-wave DFT calculation with PBE-GGA was carried out for a geometry-optimized AlFe2Se structure.

The energy relative to the elements, uncorrected is 12 kJ/mol of atoms. As for the crystal system: tetragonal. The excess energy over the best structure of this formula in the dataset is 158 meV per atom. As for the total energy: -5.91 eV/atom.

The structure belongs to space group I-4m2 (No. 119); the cell edges are 3.6782, 3.6782 and 8.1156 Å and the angles 90.00°, 90.00° and 90.00°. Symmetry generates all atoms from Al at (0.0000, 0.0000, 0.0000), Fe at (0.0000, 0.0000, 0.5000), Fe at (0.0000, 0.5000, 0.7500) and Se at (0.0000, 0.5000, 0.2500).



A plane-wave DFT calculation with PBE-GGA was carried out for a geometry-optimized AlZn2FeSe structure.

The energy relative to the elements, uncorrected is 69 kJ/mol of atoms. As for the crystal system: tetragonal. As for the total energy: -2.93 eV/atom.

The structure belongs to space group P4/mmm (No. 123); the cell edges are 4.7412, 4.7412 and 4.7162 Å and the angles 90.00°, 90.00° and 90.00°. Symmetry generates all atoms from Al at (0.0000, 0.0000, 0.0000), Zn at (0.0000, 0.5000, 0.0000), Fe at (0.0000, 0.0000, 0.5000) and Se at (0.5000, 0.5000, 0.5000).



A plane-wave DFT calculation with PBE-GGA was carried out for a geometry-optimized Al2ZnFeSe structure.

The energy relative to the elements, uncorrected is 80 kJ/mol of atoms. As for the crystal system: tetragonal. As for the total energy: -3.31 eV/atom.

The structure belongs to space group P4/mmm (No. 123); the cell edges are 4.9869, 4.9869 and 4.2624 Å and the angles 90.00°, 90.00° and 90.00°. Symmetry generates all atoms from Al at (0.0000, 0.5000, 0.0000), Zn at (0.0000, 0.0000, 0.5000), Fe at (0.5000, 0.5000, 0.5000) and Se at (0.5000, 0.5000, 0.0000).



> What is the total energy in the third record?

-4.76 eV/atom



What did the first record say?
A plane-wave DFT calculation with PBE-GGA was carried out for a geometry-optimized Al2FeSe structure.

The energy relative to the elements, uncorrected is 19 kJ/mol of atoms. As for the crystal system: tetragonal. As for the total energy: -4.66 eV/atom.

The structure belongs to space group I-42d (No. 122); the cell edges are 7.0893, 7.0893 and 5.4973 Å and the angles 90.00°, 90.00° and 90.00°. Symmetry generates all atoms from Al at (0.2468, 0.2500, 0.1250), Fe at (0.0000, 0.0000, 0.0000) and Se at (0.0000, 0.0000, 0.5000).



> Which formula does entry 6 have?

AlFe2Se